[1]
A geometry-optimized SrRhSe2 structure, computed with GGA-PBEsol.

Results
N(E_F) ... 3.87 states/eV/f.u.
E_tot ... -19.5 eV/f.u.
Magnetization ... 0.002 Bohr magnetons per cell
Energy above the lowest structure with this stoichiometry ... 0.492 eV per atom

Cell lengths 3.3805, 3.3805, 7.0620 Å; angles 90.00, 90.00, 90.00 degrees
Closest atoms and distances in Å follow each position.
Element x y z (fractional)
Rh1 0.5000 0.5000 0.5000  8 Se 2.80
Se1 0.0000 0.0000 0.7056  4 Rh 2.80, 1 Se 2.90
Se2 0.0000 0.0000 0.2944  4 Rh 2.80, 1 Se 2.90
Sr1 0.5000 0.5000 0.0000  8 Se 3.17, 4 Sr 3.38, 2 Rh 3.53

=====

[2]
A geometry-optimized SrRhSe2 structure, computed with GGA-PBEsol.

Results
N(E_F) ... 2.05 states/eV/f.u.
E_tot ... -19.6 eV/f.u.
Magnetization ... 0.344 Bohr magnetons per cell
Energy above the lowest structure with this stoichiometry ... 0.451 eV per atom

Cell lengths 3.8451, 3.8451, 8.5691 Å; angles 77.03, 77.03, 60.00 degrees
Closest atoms and distances in Å follow each position.
Element x y z (fractional)
Sr1 0.0000 0.0000 0.0000  2 Se 2.97
Rh1 0.5000 0.5000 0.5000  6 Se 2.51
Se1 0.8803 0.8803 0.3592  3 Rh 2.51
Se2 0.1197 0.1197 0.6408  3 Rh 2.51

=====

[3]
A geometry-optimized SrRhSe structure, computed with GGA-PBEsol.

Results
N(E_F) ... 2.33 states/eV/f.u.
E_tot ... -16.7 eV/f.u.
Magnetization ... 0.000 Bohr magnetons per cell
Energy above the lowest structure with this stoichiometry ... 0.000 eV per atom

Cell lengths 4.2118, 4.2118, 4.3188 Å; angles 90.00, 90.00, 120.00 degrees
Closest atoms and distances in Å follow each position.
Element x y z (fractional)
Sr1 0.6667 0.3333 0.5000  6 Se 3.25, 6 Rh 3.25
Rh1 0.0000 0.0000 0.0000  3 Se 2.43
Se1 0.3333 0.6667 0.0000  3 Rh 2.43

=====

Question: The highest E_tot belongs to which entry?
Answer: SrRhSe